A plane-wave DFT calculation with GGA-PBE was carried out for a relaxed Th4Tl5H2 crystal.

It has space group Immm (No. 71), with a = 3.402 Å, b = 9.065 Å, c = 18.507 Å, α = 90.00°, β = 90.00° and γ = 90.00°. The inequivalent atoms are Th at (0.000, 0.000, 0.168), Th at (0.000, 0.317, 0.500), Tl at (0.000, 0.173, 0.330), Tl at (0.000, 0.500, 0.000) and H at (0.000, 0.000, 0.047).

As for the magnetic moment: 0.00 μB/f.u. Its uncorrected energy is -97.5 eV for the cell shown.

A plane-wave DFT calculation with GGA-PBE was carried out for a relaxed CuBiPdPb crystal.

It has space group F-43m (No. 216), with a = 7.004 Å, b = 7.004 Å, c = 7.004 Å, α = 90.00°, β = 90.00° and γ = 90.00°. The inequivalent atoms are Cu at (0.000, 0.000, 0.000), Bi at (0.250, 0.250, 0.250), Pd at (0.000, 0.000, 0.500) and Pb at (0.250, 0.250, 0.750).

As for the formation energy: 23 meV per atom. As for the magnetic moment: 0.00 μB/f.u. Its uncorrected energy is -67.1 eV for the cell shown.

A plane-wave DFT calculation with GGA-PBE was carried out for a relaxed La5ScTl2 crystal.

It has space group P6_3/mmc (No. 194), with a = 5.5885 Å, b = 5.5885 Å, c = 20.4999 Å, α = 90.00°, β = 90.00° and γ = 120.00°. The inequivalent atoms are La at (0.0000, 0.0000, 0.1617), La at (0.3333, 0.6667, 0.0569), La at (0.3333, 0.6667, 0.2500), Sc at (0.3333, 0.6667, 0.7500) and Tl at (0.3333, 0.6667, 0.6047).

As for the formation energy: -126 meV per atom. As for the magnetic moment: 0.00 μB/f.u. Its uncorrected energy is -73.4 eV for the cell shown.

A plane-wave DFT calculation with GGA-PBE was carried out for a relaxed ScBeTl crystal.

It has space group Cmcm (No. 63), with a = 4.630 Å, b = 7.907 Å, c = 6.099 Å, α = 90.00°, β = 90.00° and γ = 90.00°. The inequivalent atoms are Sc at (0.000, 0.164, 0.250), Be at (0.000, 0.170, 0.750) and Tl at (0.000, 0.500, 0.000).

As for the formation energy: 143 meV per atom. As for the magnetic moment: 0.00 μB/f.u. Its uncorrected energy is -48.0 eV for the cell shown.